No. 1
Compound: Fe2PtSe
Source: Alexandria
Functional: PBE
Structure: relaxed

```
data_Fe2PtSe
_cell_length_a 4.5187
_cell_length_b 4.5187
_cell_length_c 2.8303
_cell_angle_alpha 90.00
_cell_angle_beta 90.00
_cell_angle_gamma 90.00
_symmetry_space_group_name_H-M 'P 4/m m m'
_symmetry_Int_Tables_number 123
_symmetry_space_group_name_Hall '-P 4 2'
loop_
_atom_site_label
_atom_site_type_symbol
_atom_site_fract_x
_atom_site_fract_y
_atom_site_fract_z
Fe1 Fe 0.0000 0.5000 0.0000
Pt1 Pt 0.0000 0.0000 0.5000
Se1 Se 0.5000 0.5000 0.5000
```

Results
**Formation energy from raw total energies**: 132 meV per atom

***

No. 2
Compound: Li2US4
Source: Alexandria
Functional: PBE
Structure: relaxed

```
data_Li2US4
_cell_length_a 7.6350
_cell_length_b 8.1783
_cell_length_c 9.8273
_cell_angle_alpha 90.00
_cell_angle_beta 90.00
_cell_angle_gamma 90.00
_symmetry_space_group_name_H-M 'I m m a'
_symmetry_Int_Tables_number 74
_symmetry_space_group_name_Hall '-I 2b 2'
loop_
_atom_site_label
_atom_site_type_symbol
_atom_site_fract_x
_atom_site_fract_y
_atom_site_fract_z
Li1 Li 0.0000 0.2500 0.1659
Li2 Li 0.2500 0.2500 0.7500
U1 U 0.0000 0.0000 0.5000
S1 S 0.0000 0.0317 0.7476
S2 S 0.2167 0.2500 0.4822
```

Results
**Formation energy from raw total energies**: -1192 meV per atom

***

No. 3
Compound: NaTcF2
Source: Alexandria
Functional: PBE
Structure: relaxed

```
data_NaTcF2
_cell_length_a 2.8266
_cell_length_b 2.8266
_cell_length_c 20.9412
_cell_angle_alpha 90.00
_cell_angle_beta 90.00
_cell_angle_gamma 120.00
_symmetry_space_group_name_H-M 'R -3 m'
_symmetry_Int_Tables_number 166
_symmetry_space_group_name_Hall '-R 3 2"'
loop_
_atom_site_label
_atom_site_type_symbol
_atom_site_fract_x
_atom_site_fract_y
_atom_site_fract_z
Na1 Na 0.0000 0.0000 0.0000
Tc1 Tc 0.0000 0.0000 0.5000
F1 F 0.0000 0.0000 0.4023
```

Results
**Formation energy from raw total energies**: -1629 meV per atom

***

No. 4
Compound: LaY2HfO
Source: Alexandria
Functional: PBE
Structure: relaxed

```
data_LaY2HfO
_cell_length_a 4.7663
_cell_length_b 4.7663
_cell_length_c 5.2232
_cell_angle_alpha 90.00
_cell_angle_beta 90.00
_cell_angle_gamma 90.00
_symmetry_space_group_name_H-M 'P 4/m m m'
_symmetry_Int_Tables_number 123
_symmetry_space_group_name_Hall '-P 4 2'
loop_
_atom_site_label
_atom_site_type_symbol
_atom_site_fract_x
_atom_site_fract_y
_atom_site_fract_z
La1 La 0.0000 0.0000 0.0000
Y1 Y 0.0000 0.5000 0.5000
Hf1 Hf 0.5000 0.5000 0.0000
O1 O 0.0000 0.0000 0.5000
```

Results
**Formation energy from raw total energies**: -1045 meV per atom

***

No. 5
Compound: Tb6MgAl
Source: Alexandria
Functional: PBE
Structure: relaxed

```
data_Tb6MgAl
_cell_length_a 4.8495
_cell_length_b 4.8495
_cell_length_c 9.6957
_cell_angle_alpha 90.00
_cell_angle_beta 90.00
_cell_angle_gamma 90.00
_symmetry_space_group_name_H-M 'P 4/m m m'
_symmetry_Int_Tables_number 123
_symmetry_space_group_name_Hall '-P 4 2'
loop_
_atom_site_label
_atom_site_type_symbol
_atom_site_fract_x
_atom_site_fract_y
_atom_site_fract_z
Tb1 Tb 0.0000 0.0000 0.0000
Tb2 Tb 0.0000 0.0000 0.5000
Tb3 Tb 0.0000 0.5000 0.2407
Mg1 Mg 0.5000 0.5000 0.5000
Al1 Al 0.5000 0.5000 0.0000
```

Results
**Formation energy from the elements**: -77 meV per atom

***

No. 6
Compound: Pm4TlAu3
Source: Alexandria
Functional: PBE
Structure: relaxed

```
data_Pm4TlAu3
_cell_length_a 5.2837
_cell_length_b 5.2837
_cell_length_c 25.9612
_cell_angle_alpha 90.00
_cell_angle_beta 90.00
_cell_angle_gamma 120.00
_symmetry_space_group_name_H-M 'R -3 m'
_symmetry_Int_Tables_number 166
_symmetry_space_group_name_Hall '-R 3 2"'
loop_
_atom_site_label
_atom_site_type_symbol
_atom_site_fract_x
_atom_site_fract_y
_atom_site_fract_z
Pm1 Pm 0.0000 0.0000 0.1194
Pm2 Pm 0.0000 0.0000 0.3706
Tl1 Tl 0.0000 0.0000 0.5000
Au1 Au 0.0000 0.0000 0.0000
Au2 Au 0.0000 0.0000 0.2426
```

Results
**Formation energy from the elements**: -670 meV per atom